This record from Alexandria via LeMat-Bulk describes a relaxed structure of CuMoPb. The functional is GGA-PBE.

Output
- energy above the most stable polymorph in this dataset (meV per atom) = 0

```
data_CuMoPb
_space_group_name_H-M_alt 'I m m 2'
_space_group_IT_number 44
_space_group_name_Hall 'I 2 -2'
_cell_length_a 2.980
_cell_length_b 3.702
_cell_length_c 9.877
_cell_angle_alpha 90.00
_cell_angle_beta 90.00
_cell_angle_gamma 90.00
loop_
_atom_site_label
_atom_site_type_symbol
_atom_site_fract_x
_atom_site_fract_y
_atom_site_fract_z
Cu1 Cu 0.000 0.000 0.000
Mo1 Mo 0.000 0.000 0.622
Pb1 Pb 0.000 0.000 0.318
```